# 1
# Y3Ho2Sc, relaxed, DFT PBE-GGA
data_Y3Ho2Sc
_cell_length_a 7.846
_cell_length_b 7.846
_cell_length_c 4.956
_cell_angle_alpha 90.00
_cell_angle_beta 90.00
_cell_angle_gamma 143.19
_symmetry_space_group_name_H-M 'P 1'
_symmetry_Int_Tables_number 1
loop_
_symmetry_equiv_pos_as_xyz
'x,y,z'
loop_
_atom_site_label
_atom_site_type_symbol
_atom_site_fract_x
_atom_site_fract_y
_atom_site_fract_z
Y1 Y 0.000 0.000 0.000
Y2 Y 0.335 0.665 0.000
Y3 Y 0.665 0.335 0.000
Ho1 Ho 0.164 0.836 0.500
Ho2 Ho 0.836 0.164 0.500
Sc1 Sc 0.500 0.500 0.500
# - crystal system = orthorhombic
# - ΔE_f (eV per atom) = 0.04
# - mass density (g cm⁻³) = 5.83
# - relative energy among the computed polymorphs (meV/atom) = 0


# 2
# La2InRh, relaxed, DFT PBE-GGA
data_La2InRh
_cell_length_a 5.896
_cell_length_b 5.896
_cell_length_c 5.896
_cell_angle_alpha 134.60
_cell_angle_beta 134.60
_cell_angle_gamma 66.15
_symmetry_space_group_name_H-M 'P 1'
_symmetry_Int_Tables_number 1
loop_
_symmetry_equiv_pos_as_xyz
'x,y,z'
loop_
_atom_site_label
_atom_site_type_symbol
_atom_site_fract_x
_atom_site_fract_y
_atom_site_fract_z
La1 La 0.000 0.000 0.000
La2 La 0.750 0.250 0.500
In1 In 0.500 0.500 0.000
Rh1 Rh 0.250 0.750 0.500
# - crystal system = tetragonal
# - ΔE_f (eV per atom) = -0.38
# - mass density (g cm⁻³) = 8.04


# 3
# Ho3CdRh, relaxed, DFT PBE-GGA
data_Ho3CdRh
_cell_length_a 5.519
_cell_length_b 6.160
_cell_length_c 8.762
_cell_angle_alpha 102.08
_cell_angle_beta 99.74
_cell_angle_gamma 114.52
_symmetry_space_group_name_H-M 'P 1'
_symmetry_Int_Tables_number 1
loop_
_symmetry_equiv_pos_as_xyz
'x,y,z'
loop_
_atom_site_label
_atom_site_type_symbol
_atom_site_fract_x
_atom_site_fract_y
_atom_site_fract_z
Ho1 Ho 0.053 0.191 0.278
Ho2 Ho 0.283 0.429 0.728
Ho3 Ho 0.302 0.803 0.105
Ho4 Ho 0.698 0.197 0.895
Ho5 Ho 0.717 0.571 0.272
Ho6 Ho 0.947 0.809 0.722
Cd1 Cd 0.345 0.757 0.494
Cd2 Cd 0.655 0.243 0.506
Rh1 Rh 0.248 0.247 0.998
Rh2 Rh 0.752 0.753 0.002
# - crystal system = triclinic
# - ΔE_f (eV per atom) = -0.50
# - mass density (g cm⁻³) = 9.29
# - relative energy among the computed polymorphs (meV/atom) = 0


# 4
# MnIrSe2, relaxed, DFT PBE-GGA
data_MnIrSe2
_cell_length_a 5.133
_cell_length_b 4.577
_cell_length_c 4.569
_cell_angle_alpha 68.27
_cell_angle_beta 55.94
_cell_angle_gamma 55.79
_symmetry_space_group_name_H-M 'P 1'
_symmetry_Int_Tables_number 1
loop_
_symmetry_equiv_pos_as_xyz
'x,y,z'
loop_
_atom_site_label
_atom_site_type_symbol
_atom_site_fract_x
_atom_site_fract_y
_atom_site_fract_z
Mn1 Mn 0.000 0.000 0.000
Ir1 Ir 0.500 0.500 0.500
Se1 Se 0.000 0.500 0.500
Se2 Se 0.500 0.000 0.000
# - formation energy (no corrections) (eV/f.u.) = 0.9
# - crystal system = orthorhombic
# - mass density (g cm⁻³) = 9.18
# - relative energy among the computed polymorphs (meV/atom) = 473


# 5
# ThHOs, relaxed, DFT PBE-GGA
data_ThHOs
_cell_length_a 4.518
_cell_length_b 4.518
_cell_length_c 4.518
_cell_angle_alpha 127.98
_cell_angle_beta 127.98
_cell_angle_gamma 76.65
_symmetry_space_group_name_H-M 'P 1'
_symmetry_Int_Tables_number 1
loop_
_symmetry_equiv_pos_as_xyz
'x,y,z'
loop_
_atom_site_label
_atom_site_type_symbol
_atom_site_fract_x
_atom_site_fract_y
_atom_site_fract_z
Th1 Th 0.000 0.000 0.000
H1 H 0.324 0.324 0.000
Os1 Os 0.556 0.556 0.000
# - crystal system = tetragonal
# - mass density (g cm⁻³) = 12.63
# - relative energy among the computed polymorphs (meV/atom) = 351


# 6
# HgPdS2N, relaxed, DFT PBE-GGA
data_HgPdS2N
_cell_length_a 5.097
_cell_length_b 5.097
_cell_length_c 4.103
_cell_angle_alpha 90.00
_cell_angle_beta 90.00
_cell_angle_gamma 90.00
_symmetry_space_group_name_H-M 'P 1'
_symmetry_Int_Tables_number 1
loop_
_symmetry_equiv_pos_as_xyz
'x,y,z'
loop_
_atom_site_label
_atom_site_type_symbol
_atom_site_fract_x
_atom_site_fract_y
_atom_site_fract_z
Hg1 Hg 0.000 0.000 0.000
Pd1 Pd 0.500 0.500 0.500
S1 S 0.000 0.500 0.000
S2 S 0.500 0.000 0.000
N1 N 0.000 0.000 0.500
# - formation energy (no corrections) (eV/f.u.) = 8.0
# - crystal system = tetragonal
# - mass density (g cm⁻³) = 6.00
# - relative energy among the computed polymorphs (meV/atom) = 750


# 7
# HfAs2BrCl, relaxed, DFT PBE-GGA
data_HfAs2BrCl
_cell_length_a 5.228
_cell_length_b 5.228
_cell_length_c 5.166
_cell_angle_alpha 90.00
_cell_angle_beta 90.00
_cell_angle_gamma 90.00
_symmetry_space_group_name_H-M 'P 1'
_symmetry_Int_Tables_number 1
loop_
_symmetry_equiv_pos_as_xyz
'x,y,z'
loop_
_atom_site_label
_atom_site_type_symbol
_atom_site_fract_x
_atom_site_fract_y
_atom_site_fract_z
Hf1 Hf 0.000 0.000 0.000
As1 As 0.000 0.500 0.000
As2 As 0.500 0.000 0.000
Br1 Br 0.000 0.000 0.500
Cl1 Cl 0.500 0.500 0.500
# - formation energy (no corrections) (eV/f.u.) = -0.3
# - crystal system = tetragonal
# - mass density (g cm⁻³) = 5.22
# - relative energy among the computed polymorphs (meV/atom) = 0


# 8
# Na3Pt2Pb3, relaxed, DFT PBE-GGA
data_Na3Pt2Pb3
_cell_length_a 6.015
_cell_length_b 6.015
_cell_length_c 16.018
_cell_angle_alpha 90.00
_cell_angle_beta 90.00
_cell_angle_gamma 133.67
_symmetry_space_group_name_H-M 'P 1'
_symmetry_Int_Tables_number 1
loop_
_symmetry_equiv_pos_as_xyz
'x,y,z'
loop_
_atom_site_label
_atom_site_type_symbol
_atom_site_fract_x
_atom_site_fract_y
_atom_site_fract_z
Na1 Na 0.064 0.936 0.613
Na2 Na 0.064 0.936 0.887
Na3 Na 0.347 0.653 0.750
Na4 Na 0.653 0.347 0.250
Na5 Na 0.936 0.064 0.113
Na6 Na 0.936 0.064 0.387
Pt1 Pt 0.227 0.773 0.106
Pt2 Pt 0.227 0.773 0.394
Pt3 Pt 0.773 0.227 0.606
Pt4 Pt 0.773 0.227 0.894
Pb1 Pb 0.358 0.642 0.250
Pb2 Pb 0.364 0.636 0.542
Pb3 Pb 0.364 0.636 0.958
Pb4 Pb 0.636 0.364 0.042
Pb5 Pb 0.636 0.364 0.458
Pb6 Pb 0.642 0.358 0.750
# - crystal system = orthorhombic
# - ΔE_f (eV per atom) = -0.25
# - mass density (g cm⁻³) = 8.56


# 9
# GaBiSCl2, relaxed, DFT PBE-GGA
data_GaBiSCl2
_cell_length_a 4.857
_cell_length_b 4.857
_cell_length_c 4.909
_cell_angle_alpha 90.00
_cell_angle_beta 90.00
_cell_angle_gamma 90.00
_symmetry_space_group_name_H-M 'P 1'
_symmetry_Int_Tables_number 1
loop_
_symmetry_equiv_pos_as_xyz
'x,y,z'
loop_
_atom_site_label
_atom_site_type_symbol
_atom_site_fract_x
_atom_site_fract_y
_atom_site_fract_z
Ga1 Ga 0.000 0.000 0.000
Bi1 Bi 0.500 0.500 0.500
S1 S 0.000 0.000 0.500
Cl1 Cl 0.000 0.500 0.000
Cl2 Cl 0.500 0.000 0.000
# - formation energy (no corrections) (eV/f.u.) = -1.2
# - crystal system = tetragonal
# - mass density (g cm⁻³) = 5.47
# - relative energy among the computed polymorphs (meV/atom) = 158


# 10
# TaTeMo2, relaxed, DFT PBE-GGA
data_TaTeMo2
_cell_length_a 10.048
_cell_length_b 10.048
_cell_length_c 10.048
_cell_angle_alpha 156.95
_cell_angle_beta 156.95
_cell_angle_gamma 32.82
_symmetry_space_group_name_H-M 'P 1'
_symmetry_Int_Tables_number 1
loop_
_symmetry_equiv_pos_as_xyz
'x,y,z'
loop_
_atom_site_label
_atom_site_type_symbol
_atom_site_fract_x
_atom_site_fract_y
_atom_site_fract_z
Ta1 Ta 0.000 0.000 0.000
Ta2 Ta 0.750 0.250 0.500
Te1 Te 0.250 0.750 0.500
Te2 Te 0.500 0.500 0.000
Mo1 Mo 0.165 0.625 0.040
Mo2 Mo 0.375 0.415 0.540
Mo3 Mo 0.585 0.125 0.960
Mo4 Mo 0.875 0.835 0.460
# - formation energy (no corrections) (eV/f.u.) = 3.0
# - crystal system = tetragonal
# - mass density (g cm⁻³) = 10.70


# 11
# LiPr2As, relaxed, DFT PBE-GGA
data_LiPr2As
_cell_length_a 4.996
_cell_length_b 4.996
_cell_length_c 4.040
_cell_angle_alpha 90.00
_cell_angle_beta 90.00
_cell_angle_gamma 90.00
_symmetry_space_group_name_H-M 'P 1'
_symmetry_Int_Tables_number 1
loop_
_symmetry_equiv_pos_as_xyz
'x,y,z'
loop_
_atom_site_label
_atom_site_type_symbol
_atom_site_fract_x
_atom_site_fract_y
_atom_site_fract_z
Li1 Li 0.000 0.000 0.000
Pr1 Pr 0.000 0.500 0.500
Pr2 Pr 0.500 0.000 0.500
As1 As 0.500 0.500 0.000
# - crystal system = tetragonal
# - ΔE_f (eV per atom) = -0.60
# - mass density (g cm⁻³) = 5.99
# - relative energy among the computed polymorphs (meV/atom) = 0


# 12
# Zn2CuP, relaxed, DFT PBE-GGA
data_Zn2CuP
_cell_length_a 4.372
_cell_length_b 4.372
_cell_length_c 4.372
_cell_angle_alpha 60.00
_cell_angle_beta 60.00
_cell_angle_gamma 60.00
_symmetry_space_group_name_H-M 'P 1'
_symmetry_Int_Tables_number 1
loop_
_symmetry_equiv_pos_as_xyz
'x,y,z'
loop_
_atom_site_label
_atom_site_type_symbol
_atom_site_fract_x
_atom_site_fract_y
_atom_site_fract_z
Zn1 Zn 0.000 0.000 0.000
Zn2 Zn 0.250 0.250 0.250
Cu1 Cu 0.500 0.500 0.500
P1 P 0.750 0.750 0.750
# - crystal system = cubic
# - ΔE_f (eV per atom) = 0.24
# - mass density (g cm⁻³) = 6.33


# 13
# NpCo2Os, relaxed, DFT PBE-GGA
data_NpCo2Os
_cell_length_a 3.864
_cell_length_b 3.864
_cell_length_c 3.852
_cell_angle_alpha 90.00
_cell_angle_beta 90.00
_cell_angle_gamma 90.00
_symmetry_space_group_name_H-M 'P 1'
_symmetry_Int_Tables_number 1
loop_
_symmetry_equiv_pos_as_xyz
'x,y,z'
loop_
_atom_site_label
_atom_site_type_symbol
_atom_site_fract_x
_atom_site_fract_y
_atom_site_fract_z
Np1 Np 0.000 0.000 0.000
Co1 Co 0.000 0.500 0.500
Co2 Co 0.500 0.000 0.500
Os1 Os 0.500 0.500 0.000
# - crystal system = tetragonal
# - ΔE_f (eV per atom) = -0.01
# - mass density (g cm⁻³) = 15.74


# 14
# ScRe3, relaxed, DFT PBE-GGA
data_ScRe3
_cell_length_a 4.456
_cell_length_b 4.456
_cell_length_c 4.456
_cell_angle_alpha 60.00
_cell_angle_beta 60.00
_cell_angle_gamma 60.00
_symmetry_space_group_name_H-M 'P 1'
_symmetry_Int_Tables_number 1
loop_
_symmetry_equiv_pos_as_xyz
'x,y,z'
loop_
_atom_site_label
_atom_site_type_symbol
_atom_site_fract_x
_atom_site_fract_y
_atom_site_fract_z
Sc1 Sc 0.000 0.000 0.000
Re1 Re 0.250 0.250 0.250
Re2 Re 0.500 0.500 0.500
Re3 Re 0.750 0.750 0.750
# - crystal system = cubic
# - ΔE_f (eV per atom) = -0.08
# - mass density (g cm⁻³) = 16.02
# - relative energy among the computed polymorphs (meV/atom) = 0


# 15
# ThScSi2Pt5, relaxed, DFT PBE-GGA
data_ThScSi2Pt5
_cell_length_a 4.209
_cell_length_b 4.209
_cell_length_c 9.034
_cell_angle_alpha 90.00
_cell_angle_beta 90.00
_cell_angle_gamma 90.00
_symmetry_space_group_name_H-M 'P 1'
_symmetry_Int_Tables_number 1
loop_
_symmetry_equiv_pos_as_xyz
'x,y,z'
loop_
_atom_site_label
_atom_site_type_symbol
_atom_site_fract_x
_atom_site_fract_y
_atom_site_fract_z
Th1 Th 0.000 0.000 0.000
Sc1 Sc 0.000 0.000 0.500
Si1 Si 0.500 0.500 0.374
Si2 Si 0.500 0.500 0.626
Pt1 Pt 0.000 0.500 0.243
Pt2 Pt 0.000 0.500 0.757
Pt3 Pt 0.500 0.000 0.243
Pt4 Pt 0.500 0.000 0.757
Pt5 Pt 0.500 0.500 0.000
# - formation energy (no corrections) (eV/f.u.) = -9.0
# - crystal system = tetragonal
# - mass density (g cm⁻³) = 13.58


# 16
# KSnB, relaxed, DFT PBE-GGA
data_KSnB
_cell_length_a 11.473
_cell_length_b 3.908
_cell_length_c 7.900
_cell_angle_alpha 90.00
_cell_angle_beta 90.00
_cell_angle_gamma 90.00
_symmetry_space_group_name_H-M 'P 1'
_symmetry_Int_Tables_number 1
loop_
_symmetry_equiv_pos_as_xyz
'x,y,z'
loop_
_atom_site_label
_atom_site_type_symbol
_atom_site_fract_x
_atom_site_fract_y
_atom_site_fract_z
K1 K 0.219 0.250 0.046
K2 K 0.281 0.750 0.546
K3 K 0.719 0.250 0.454
K4 K 0.781 0.750 0.954
Sn1 Sn 0.010 0.250 0.672
Sn2 Sn 0.490 0.750 0.172
Sn3 Sn 0.510 0.250 0.828
Sn4 Sn 0.990 0.750 0.328
B1 B 0.091 0.250 0.391
B2 B 0.409 0.750 0.891
B3 B 0.591 0.250 0.109
B4 B 0.909 0.750 0.609
# - crystal system = orthorhombic
# - ΔE_f (eV per atom) = 0.56
# - mass density (g cm⁻³) = 3.16


# 17
# InOs2Au, relaxed, DFT PBE-GGA
data_InOs2Au
_cell_length_a 3.217
_cell_length_b 3.217
_cell_length_c 6.406
_cell_angle_alpha 90.00
_cell_angle_beta 90.00
_cell_angle_gamma 90.00
_symmetry_space_group_name_H-M 'P 1'
_symmetry_Int_Tables_number 1
loop_
_symmetry_equiv_pos_as_xyz
'x,y,z'
loop_
_atom_site_label
_atom_site_type_symbol
_atom_site_fract_x
_atom_site_fract_y
_atom_site_fract_z
In1 In 0.000 0.000 0.000
Os1 Os 0.500 0.500 0.260
Os2 Os 0.500 0.500 0.740
Au1 Au 0.000 0.000 0.500
# - crystal system = tetragonal
# - ΔE_f (eV per atom) = 0.83
# - mass density (g cm⁻³) = 17.34


# 18
# UAlSe, relaxed, DFT PBE-GGA
data_UAlSe
_cell_length_a 3.466
_cell_length_b 3.466
_cell_length_c 11.596
_cell_angle_alpha 90.00
_cell_angle_beta 90.00
_cell_angle_gamma 90.00
_symmetry_space_group_name_H-M 'P 1'
_symmetry_Int_Tables_number 1
loop_
_symmetry_equiv_pos_as_xyz
'x,y,z'
loop_
_atom_site_label
_atom_site_type_symbol
_atom_site_fract_x
_atom_site_fract_y
_atom_site_fract_z
U1 U 0.250 0.250 0.242
U2 U 0.750 0.750 0.758
Al1 Al 0.250 0.250 0.945
Al2 Al 0.750 0.750 0.055
Se1 Se 0.250 0.250 0.629
Se2 Se 0.750 0.750 0.371
# - formation energy (no corrections) (eV/f.u.) = -1.3
# - crystal system = tetragonal
# - mass density (g cm⁻³) = 8.20


# 19
# Rb2NdCrS4, relaxed, DFT PBE-GGA
data_Rb2NdCrS4
_cell_length_a 6.992
_cell_length_b 6.992
_cell_length_c 6.992
_cell_angle_alpha 115.76
_cell_angle_beta 115.76
_cell_angle_gamma 97.52
_symmetry_space_group_name_H-M 'P 1'
_symmetry_Int_Tables_number 1
loop_
_symmetry_equiv_pos_as_xyz
'x,y,z'
loop_
_atom_site_label
_atom_site_type_symbol
_atom_site_fract_x
_atom_site_fract_y
_atom_site_fract_z
Rb1 Rb 0.000 0.000 0.000
Rb2 Rb 0.750 0.250 0.500
Nd1 Nd 0.250 0.750 0.500
Cr1 Cr 0.500 0.500 0.000
S1 S 0.235 0.625 0.068
S2 S 0.375 0.443 0.610
S3 S 0.557 0.167 0.932
S4 S 0.833 0.765 0.390
# - formation energy (no corrections) (eV/f.u.) = -9.2
# - crystal system = tetragonal
# - mass density (g cm⁻³) = 3.23


# 20
# LaCeNi2P2, relaxed, DFT PBE-GGA
data_LaCeNi2P2
_cell_length_a 3.984
_cell_length_b 3.984
_cell_length_c 8.068
_cell_angle_alpha 90.00
_cell_angle_beta 90.00
_cell_angle_gamma 120.00
_symmetry_space_group_name_H-M 'P 1'
_symmetry_Int_Tables_number 1
loop_
_symmetry_equiv_pos_as_xyz
'x,y,z'
loop_
_atom_site_label
_atom_site_type_symbol
_atom_site_fract_x
_atom_site_fract_y
_atom_site_fract_z
La1 La 0.000 0.000 0.000
Ce1 Ce 0.000 0.000 0.500
Ni1 Ni 0.333 0.667 0.734
Ni2 Ni 0.667 0.333 0.266
P1 P 0.333 0.667 0.257
P2 P 0.667 0.333 0.743
# - crystal system = trigonal
# - ΔE_f (eV per atom) = -1.18
# - mass density (g cm⁻³) = 6.86


no.,raw total energy (eV for the cell shown)
1,-34.6
2,-21.5
3,-49.0
4,-24.1
5,-21.8
6,-14.1
7,-23.1
8,-58.3
9,-15.9
10,-67.2
11,-18.5
12,-11.1
13,-38.4
14,-44.0
15,-63.8
16,-40.4
17,-25.1
18,-39.7
19,-42.0
20,-40.3